# 1
Material: Fe2CoAg
Method: DFT, PBE
State: relaxed

The formation energy comes out at 0.25 eV per atom. The value obtained for the total energy is -6.474 eV per atom. The calculation puts the density of states at the Fermi level at 2.98 states/eV/cell. Its space group is P2/m. The value obtained for the magnetization is 1.75 μB per atom.

Cell lengths 2.7509, 3.4445, 5.6153 Å; angles 90.00, 90.25, 90.00 degrees
Closest atoms and distances in Å follow each position.
Atoms (fractional coordinates):
Fe 0.0026 0.0000 0.2913  1 Fe 2.34, 4 Co 2.49-2.50
Fe 0.9974 0.0000 0.7087  1 Fe 2.34, 4 Co 2.49-2.50
Co 0.5000 0.5000 0.5000  8 Fe 2.49-2.50, 2 Co 2.75
Ag 0.5000 0.5000 0.0000  8 Fe 2.74, 2 Ag 2.75, 2 Co 2.81

***

# 2
Material: CeH2I8
Method: DFT, PBE
State: relaxed

The value obtained for the total energy is -2.703 eV per atom. The calculation puts the density of states at the Fermi level at 5.64 states/eV/cell. Its space group is P-1. The value obtained for the magnetization is 0.03 μB per atom.

Cell lengths 4.0061, 9.8354, 13.0265 Å; angles 69.61, 89.56, 84.49 degrees
Closest atoms and distances in Å follow each position.
Atoms (fractional coordinates):
Ce 0.0000 0.0000 0.0000  8 I 3.21-3.35
H 0.2258 0.4172 0.7817  1 I 1.70
H 0.7742 0.5828 0.2183  1 I 1.70
I 0.0208 0.8507 0.5520  1 I 2.76
I 0.0265 0.4873 0.6573  1 H 1.70
I 0.4232 0.2843 0.9653  1 H 2.39
I 0.4942 0.0492 0.7971  2 Ce 3.21-3.22
I 0.5058 0.9508 0.2029  2 Ce 3.21-3.22
I 0.5768 0.7157 0.0347  1 H 2.39
I 0.9735 0.5127 0.3427  1 H 1.70
I 0.9792 0.1493 0.4480  1 I 2.76

***

# 3
Material: Ta7BiO19
Method: DFT, PBE
State: relaxed

The value obtained for the total energy is -9.414 eV per atom. The raw formation energy comes out at -2.709 eV per atom. The calculation puts the density of states at the Fermi level at 0.00 states/eV/cell. Its space group is P-6c2. The value obtained for the magnetization is 0.00 μB per atom.

Cell lengths 6.2833, 6.2833, 20.2396 Å; angles 90.00, 90.00, 120.00 degrees
Closest atoms and distances in Å follow each position.
Atoms (fractional coordinates):
Ta 0.0000 0.0000 0.0000  6 O 2.01
Ta 0.0000 0.0000 0.5000  6 O 2.01
Ta 0.3325 0.0250 0.1562  6 O 1.92-2.07
Ta 0.3325 0.0250 0.3438  6 O 1.92-2.07
Ta 0.3325 0.3076 0.6562  6 O 1.92-2.07
Ta 0.3325 0.3076 0.8438  6 O 1.92-2.07
Ta 0.6924 0.0250 0.6562  6 O 1.92-2.07
Ta 0.6924 0.0250 0.8438  6 O 1.92-2.07
Ta 0.6924 0.6675 0.1562  6 O 1.92-2.07
Ta 0.6924 0.6675 0.3438  6 O 1.92-2.07
Ta 0.9750 0.3076 0.1562  6 O 1.92-2.07
Ta 0.9750 0.3076 0.3438  6 O 1.92-2.07
Ta 0.9750 0.6675 0.6562  6 O 1.92-2.07
Ta 0.9750 0.6675 0.8438  6 O 1.92-2.07
Bi 0.6667 0.3333 0.0000  8 O 2.45-2.72
Bi 0.6667 0.3333 0.5000  8 O 2.45-2.72
O 0.0000 0.0000 0.1665  3 Ta 2.03
O 0.0000 0.0000 0.3335  3 Ta 2.03
O 0.0000 0.0000 0.6665  3 Ta 2.03
O 0.0000 0.0000 0.8335  3 Ta 2.03
O 0.0884 0.4217 0.6534  2 Ta 1.99-2.00
O 0.0884 0.4217 0.8466  2 Ta 1.99-2.00
O 0.0884 0.6667 0.1534  2 Ta 1.99-2.00
O 0.0884 0.6667 0.3466  2 Ta 1.99-2.00
O 0.2840 0.0499 0.0569  2 Ta 2.01-2.05
O 0.2840 0.0499 0.4431  2 Ta 2.01-2.05
O 0.2840 0.2341 0.5569  2 Ta 2.01-2.05
O 0.2840 0.2341 0.9431  2 Ta 2.01-2.05
O 0.3333 0.4217 0.1534  2 Ta 1.99-2.00
O 0.3333 0.4217 0.3466  2 Ta 1.99-2.00
O 0.3333 0.9116 0.6534  2 Ta 1.99-2.00
O 0.3333 0.9116 0.8466  2 Ta 1.99-2.00
O 0.3725 0.0816 0.2500  2 Ta 1.92
O 0.3725 0.2909 0.7500  2 Ta 1.92
O 0.5783 0.6667 0.6534  2 Ta 1.99-2.00
O 0.5783 0.6667 0.8466  2 Ta 1.99-2.00
O 0.5783 0.9116 0.1534  2 Ta 1.99-2.00
O 0.5783 0.9116 0.3466  2 Ta 1.99-2.00
O 0.6667 0.3333 0.1342  3 Ta 2.07
O 0.6667 0.3333 0.3658  3 Ta 2.07
O 0.6667 0.3333 0.6342  3 Ta 2.07
O 0.6667 0.3333 0.8658  3 Ta 2.07
O 0.7091 0.0816 0.7500  2 Ta 1.92
O 0.7091 0.6275 0.2500  2 Ta 1.92
O 0.7659 0.0499 0.5569  2 Ta 2.01-2.05
O 0.7659 0.0499 0.9431  2 Ta 2.01-2.05
O 0.7659 0.7160 0.0569  2 Ta 2.01-2.05
O 0.7659 0.7160 0.4431  2 Ta 2.01-2.05
O 0.9184 0.2909 0.2500  2 Ta 1.92
O 0.9184 0.6275 0.7500  2 Ta 1.92
O 0.9501 0.2341 0.0569  2 Ta 2.01-2.05
O 0.9501 0.2341 0.4431  2 Ta 2.01-2.05
O 0.9501 0.7160 0.5569  2 Ta 2.01-2.05
O 0.9501 0.7160 0.9431  2 Ta 2.01-2.05

***

# 4
Material: KTe2Pd
Method: DFT, PBE
State: relaxed

The value obtained for the total energy is -3.653 eV per atom. The raw formation energy comes out at -0.510 eV per atom. The calculation puts the density of states at the Fermi level at 8.90 states/eV/cell. Its space group is C2/c. The value obtained for the magnetization is 0.00 μB per atom.

Cell lengths 6.2979, 13.8460, 6.4571 Å; angles 90.00, 116.34, 90.00 degrees
Closest atoms and distances in Å follow each position.
Atoms (fractional coordinates):
K 0.0000 0.1175 0.2500  4 Pd 3.57-3.79, 10 Te 3.63-3.99
K 0.0000 0.8825 0.7500  4 Pd 3.57-3.79, 10 Te 3.63-3.99
K 0.5000 0.3825 0.7500  4 Pd 3.57-3.79, 10 Te 3.63-3.99
K 0.5000 0.6175 0.2500  4 Pd 3.57-3.79, 10 Te 3.63-3.99
Te 0.1432 0.3696 0.1287  2 Pd 2.66-2.71, 1 Te 2.87
Te 0.1432 0.6304 0.6287  2 Pd 2.66-2.71, 1 Te 2.87
Te 0.3568 0.1304 0.8713  2 Pd 2.66-2.71, 1 Te 2.87
Te 0.3568 0.8696 0.3713  2 Pd 2.66-2.71, 1 Te 2.87
Te 0.6432 0.1304 0.6287  2 Pd 2.66-2.71, 1 Te 2.87
Te 0.6432 0.8696 0.1287  2 Pd 2.66-2.71, 1 Te 2.87
Te 0.8568 0.3696 0.3713  2 Pd 2.66-2.71, 1 Te 2.87
Te 0.8568 0.6304 0.8713  2 Pd 2.66-2.71, 1 Te 2.87
Pd 0.0000 0.2610 0.7500  4 Te 2.66-2.71
Pd 0.0000 0.7390 0.2500  4 Te 2.66-2.71
Pd 0.5000 0.2390 0.2500  4 Te 2.66-2.71
Pd 0.5000 0.7610 0.7500  4 Te 2.66-2.71

***

# 5
Material: SiPb2Se
Method: DFT, PBE
State: relaxed

The value obtained for the total energy is -3.824 eV per atom. The raw formation energy comes out at 0.257 eV per atom. The calculation puts the density of states at the Fermi level at 11.04 states/eV/cell. Its space group is Fm-3m. The value obtained for the magnetization is 0.00 μB per atom.

Cell lengths 7.3935, 7.3935, 7.3935 Å; angles 90.00, 90.00, 90.00 degrees
Closest atoms and distances in Å follow each position.
Atoms (fractional coordinates):
Si 0.0000 0.0000 0.0000  8 Pb 3.20
Si 0.0000 0.5000 0.5000  8 Pb 3.20
Si 0.5000 0.0000 0.5000  8 Pb 3.20
Si 0.5000 0.5000 0.0000  8 Pb 3.20
Pb 0.2500 0.2500 0.2500  4 Se 3.20, 4 Si 3.20
Pb 0.2500 0.2500 0.7500  4 Se 3.20, 4 Si 3.20
Pb 0.2500 0.7500 0.2500  4 Se 3.20, 4 Si 3.20
Pb 0.2500 0.7500 0.7500  4 Se 3.20, 4 Si 3.20
Pb 0.7500 0.2500 0.2500  4 Se 3.20, 4 Si 3.20
Pb 0.7500 0.2500 0.7500  4 Se 3.20, 4 Si 3.20
Pb 0.7500 0.7500 0.2500  4 Se 3.20, 4 Si 3.20
Pb 0.7500 0.7500 0.7500  4 Se 3.20, 4 Si 3.20
Se 0.0000 0.0000 0.5000  8 Pb 3.20
Se 0.0000 0.5000 0.0000  8 Pb 3.20
Se 0.5000 0.0000 0.0000  8 Pb 3.20
Se 0.5000 0.5000 0.5000  8 Pb 3.20

***

# 6
Material: Zr2CrBr
Method: DFT, PBE
State: relaxed

The value obtained for the total energy is -6.921 eV per atom. The raw formation energy comes out at 0.178 eV per atom. The calculation puts the density of states at the Fermi level at 8.32 states/eV/cell. Its space group is Cm. The value obtained for the magnetization is 0.52 μB per atom.

Cell lengths 10.3230, 3.1764, 5.1032 Å; angles 90.00, 105.28, 90.00 degrees
Closest atoms and distances in Å follow each position.
Atoms (fractional coordinates):
Zr 0.0000 0.0000 0.0000  3 Cr 2.80-2.99, 4 Br 2.95-3.11
Zr 0.2157 0.0000 0.6296  3 Br 2.80-2.98, 4 Cr 2.92-3.10
Zr 0.5000 0.5000 0.0000  3 Cr 2.80-2.99, 4 Br 2.95-3.11
Zr 0.7157 0.5000 0.6296  3 Br 2.80-2.98, 4 Cr 2.92-3.10
Cr 0.2315 0.5000 0.1180  7 Zr 2.80-3.10, 2 Br 3.09
Cr 0.7315 0.0000 0.1180  7 Zr 2.80-3.10, 2 Br 3.09
Br 0.4624 0.0000 0.4993  7 Zr 2.80-3.11, 2 Cr 3.09
Br 0.9624 0.5000 0.4993  7 Zr 2.80-3.11, 2 Cr 3.09

***

# 7
Material: CuRhCl2
Method: DFT, PBE
State: relaxed

The value obtained for the total energy is -3.632 eV per atom. The raw formation energy comes out at 0.153 eV per atom. The calculation puts the density of states at the Fermi level at 6.03 states/eV/cell. Its space group is Cmmm. The value obtained for the magnetization is 0.27 μB per atom.

Cell lengths 3.2002, 6.1816, 7.3339 Å; angles 90.00, 90.00, 90.00 degrees
Closest atoms and distances in Å follow each position.
Atoms (fractional coordinates):
Cu 0.0000 0.0000 0.0000  4 Cl 2.37
Cu 0.5000 0.5000 0.0000  4 Cl 2.37
Rh 0.0000 0.0000 0.5000  4 Cl 2.50
Rh 0.5000 0.5000 0.5000  4 Cl 2.50
Cl 0.0000 0.5000 0.2384  2 Cu 2.37, 2 Rh 2.50
Cl 0.0000 0.5000 0.7616  2 Cu 2.37, 2 Rh 2.50
Cl 0.5000 0.0000 0.2384  2 Cu 2.37, 2 Rh 2.50
Cl 0.5000 0.0000 0.7616  2 Cu 2.37, 2 Rh 2.50

***

# 8
Material: ZrNb2AgH
Method: DFT, PBE
State: relaxed

The value obtained for the total energy is -6.972 eV per atom. The calculation puts the density of states at the Fermi level at 4.35 states/eV/cell. Its space group is P4/mmm. The value obtained for the magnetization is 0.00 μB per atom.

Cell lengths 4.1242, 4.1242, 4.6248 Å; angles 90.00, 90.00, 90.00 degrees
Closest atoms and distances in Å follow each position.
Atoms (fractional coordinates):
Zr 0.0000 0.0000 0.0000  2 H 2.31
Nb 0.0000 0.5000 0.5000  2 H 2.06
Nb 0.5000 0.0000 0.5000  2 H 2.06
Ag 0.5000 0.5000 0.0000  4 Zr 2.92, 8 Nb 3.10
H 0.0000 0.0000 0.5000  4 Nb 2.06

***

# 9
Material: Cs3Ac2PuTe6
Method: DFT, PBE
State: relaxed

The value obtained for the total energy is -5.017 eV per atom. The raw formation energy comes out at -1.354 eV per atom. The calculation puts the density of states at the Fermi level at 14.71 states/eV/cell. Its space group is C2/m. The value obtained for the magnetization is 0.42 μB per atom.

Cell lengths 8.3815, 8.3815, 9.3567 Å; angles 98.59, 98.59, 120.01 degrees
Closest atoms and distances in Å follow each position.
Atoms (fractional coordinates):
Cs 0.0000 0.0000 0.0000  6 Te 3.85-3.96
Cs 0.3306 0.6694 0.0000  6 Te 3.85-3.94
Cs 0.6694 0.3306 0.0000  6 Te 3.85-3.94
Ac 0.1663 0.8337 0.5000  6 Te 3.35
Ac 0.8337 0.1663 0.5000  6 Te 3.35
Pu 0.5000 0.5000 0.5000  6 Te 3.21
Te 0.1143 0.4345 0.3031  1 Pu 3.21, 2 Ac 3.35
Te 0.2462 0.2462 0.6982  1 Pu 3.21, 2 Ac 3.35
Te 0.4345 0.1143 0.3031  1 Pu 3.21, 2 Ac 3.35
Te 0.5655 0.8857 0.6969  1 Pu 3.21, 2 Ac 3.35
Te 0.7538 0.7538 0.3018  1 Pu 3.21, 2 Ac 3.35
Te 0.8857 0.5655 0.6969  1 Pu 3.21, 2 Ac 3.35

***

# 10
Material: TlAsBr2
Method: DFT, PBE
State: relaxed

The value obtained for the total energy is -2.802 eV per atom. The raw formation energy comes out at -0.212 eV per atom. The calculation puts the density of states at the Fermi level at 0.87 states/eV/cell. Its space group is P2/m. The value obtained for the magnetization is 0.00 μB per atom.

Cell lengths 5.7829, 3.8756, 6.5422 Å; angles 90.00, 105.54, 90.00 degrees
Closest atoms and distances in Å follow each position.
Atoms (fractional coordinates):
Tl 0.0000 0.0000 0.0000  2 As 3.27, 4 Br 3.49
As 0.0000 0.0000 0.5000  4 Br 2.73
Br 0.3029 0.5000 0.7105  2 As 2.73
Br 0.6971 0.5000 0.2895  2 As 2.73

***

# 11
Material: VZn2
Method: DFT, PBE
State: relaxed

The formation energy comes out at 0.07 eV per atom. The value obtained for the total energy is -3.821 eV per atom. The calculation puts the density of states at the Fermi level at 3.88 states/eV/cell. Its space group is Fd-3m. The value obtained for the magnetization is 0.00 μB per atom.

Cell lengths 4.8984, 4.8984, 4.8984 Å; angles 60.00, 60.00, 60.00 degrees
Closest atoms and distances in Å follow each position.
Atoms (fractional coordinates):
V 0.1250 0.1250 0.1250  12 Zn 2.87, 4 V 3.00
V 0.8750 0.8750 0.8750  12 Zn 2.87, 4 V 3.00
Zn 0.0000 0.5000 0.5000  6 Zn 2.45
Zn 0.5000 0.0000 0.5000  6 Zn 2.45
Zn 0.5000 0.5000 0.0000  6 Zn 2.45
Zn 0.5000 0.5000 0.5000  6 Zn 2.45

***

# 12
Material: KSn3O
Method: DFT, PBE
State: relaxed

The value obtained for the total energy is -3.840 eV per atom. The raw formation energy comes out at -0.227 eV per atom. The calculation puts the density of states at the Fermi level at 3.21 states/eV/cell. Its space group is Pm-3m. The value obtained for the magnetization is 0.00 μB per atom.

Cell lengths 5.0409, 5.0409, 5.0409 Å; angles 90.00, 90.00, 90.00 degrees
Closest atoms and distances in Å follow each position.
Atoms (fractional coordinates):
K 0.0000 0.0000 0.0000  12 Sn 3.56
Sn 0.0000 0.5000 0.5000  2 O 2.52
Sn 0.5000 0.0000 0.5000  2 O 2.52
Sn 0.5000 0.5000 0.0000  2 O 2.52
O 0.5000 0.5000 0.5000  6 Sn 2.52

***

Question: Which value of total energy does entry 12 give?
Answer: -3.840 eV per atom

***

Question: Which value of total energy does entry 12 give?
Answer: -3.840 eV per atom